No. 1
Na3NdU2S6, optimized geometry, DFT PBE; space-group type = C2/m; formation energy (no corrections) = -17.8 eV/f.u.; ρ = 5172 kg/m3; V = 23.59 A^3/atom; final energy = -73.9 eV/cell
1.0
6.962 -0.002 -0.001
-3.481 6.030 -0.001
-1.162 -2.012 6.745
S U Nd Na
6 2 1 3
Cartesian
2.286 3.959 1.569
3.514 1.945 5.182
-0.071 4.016 5.182
0.033 0.057 5.175
2.391 0.000 1.561
-1.195 2.071 1.561
3.482 2.009 -0.001
0.000 4.019 -0.001
0.000 0.000 0.000
4.659 -0.013 3.372
-2.339 4.029 3.372
1.160 2.008 3.372



No. 2
NaNd2US4, optimized geometry, DFT PBE; space-group type = P2/m; formation energy (no corrections) = -13.6 eV/f.u.; ρ = 6134 kg/m3; V = 22.94 A^3/atom; final energy = -52.2 eV/cell
1.0
-0.590 -3.862 -0.841
6.339 -0.334 -2.913
0.513 -1.551 6.764
Na S U Nd
1 4 1 2
Cartesian
0.000 0.000 0.000
2.014 -1.266 4.404
4.837 -0.618 -0.552
1.437 -2.393 0.488
4.825 -3.354 2.523
2.874 -2.098 -1.877
3.426 -0.942 1.926
-0.038 -2.707 2.962



No. 3
NaNdUS4, optimized geometry, DFT PBE; space-group type = Imma; formation energy (no corrections) = -11.2 eV/f.u.; ρ = 4432 kg/m3; V = 28.55 A^3/atom; final energy = -90.1 eV/cell
1.0
8.188 0.000 0.000
-4.094 7.170 -0.519
0.000 -4.332 7.123
S U Na Nd
8 2 2 2
Cartesian
0.000 2.427 1.805
1.911 3.711 4.696
6.005 -0.872 1.909
4.094 2.285 1.718
0.000 0.553 4.887
4.094 0.411 4.800
-1.911 3.711 4.696
2.183 -0.872 1.909
2.047 1.419 3.302
-2.047 1.419 3.302
4.094 4.848 0.509
0.000 -2.010 6.096
4.094 -2.166 3.562
4.094 0.000 0.000



No. 4
Na2NdUS4, optimized geometry, DFT PBE; space-group type = P2/m; formation energy (no corrections) = -12.4 eV/f.u.; ρ = 4829 kg/m3; V = 23.92 A^3/atom; final energy = -47.6 eV/cell
1.0
-1.032 3.448 -1.867
-6.763 -1.865 0.293
1.669 3.675 5.863
S U Na Nd
4 1 2 1
Cartesian
-4.589 -0.526 1.565
-1.835 2.114 0.516
-4.290 3.144 3.773
-0.505 2.336 4.591
-3.897 0.791 -0.787
0.319 3.561 1.998
-2.547 0.905 3.078
0.000 0.000 0.000



No. 5
Na3NdY2S6, optimized geometry, DFT PBE; space-group type = C2/m; formation energy (no corrections) = -22.0 eV/f.u.; ρ = 3418 kg/m3; V = 23.62 A^3/atom; final energy = -68.4 eV/cell
1.0
-3.280 2.917 -5.444
-3.392 -0.910 6.048
4.229 5.383 1.834
Y S Nd Na
2 6 1 3
Cartesian
-3.355 0.365 2.218
-3.317 1.642 -1.615
1.491 4.678 1.572
-1.743 6.316 -0.092
-0.700 1.074 2.530
-1.782 5.010 3.830
-3.934 2.712 0.865
-0.661 2.380 -1.393
0.000 0.000 0.000
-1.184 4.971 -2.613
-1.259 2.419 5.050
-1.221 3.695 1.219



No. 6
NaNd3Y2S6, optimized geometry, DFT PBE; space-group type = C2/m; formation energy (no corrections) = -23.4 eV/f.u.; ρ = 5017 kg/m3; V = 22.78 A^3/atom; final energy = -76.7 eV/cell
1.0
6.924 -0.007 -0.003
-3.467 5.994 -0.003
-1.156 -2.001 6.593
S Y Nd Na
6 2 3 1
Cartesian
-0.030 3.992 5.004
3.472 1.969 5.004
0.003 0.005 5.048
2.331 -0.006 1.583
-1.170 2.016 1.583
2.299 3.980 1.540
0.006 3.988 -0.003
3.451 1.999 -0.003
1.151 1.993 3.294
4.658 -0.033 3.294
-2.356 4.018 3.294
0.000 0.000 0.000



No. 7
Na2Nd3YS6, optimized geometry, DFT PBE; space-group type = C2/m; formation energy (no corrections) = -22.4 eV/f.u.; ρ = 4501 kg/m3; V = 23.36 A^3/atom; final energy = -70.6 eV/cell
1.0
-4.517 5.148 -1.471
1.521 -4.810 -4.860
-3.981 -3.862 4.256
S Nd Na Y
6 3 2 1
Cartesian
-2.687 0.756 0.046
-0.724 -2.481 -1.056
-6.253 -1.043 -1.019
-4.290 -4.281 -2.121
-3.269 -0.709 -3.742
-3.708 -2.815 1.666
-5.479 1.521 0.080
-3.489 -1.762 -1.038
-1.498 -5.045 -2.155
-2.499 1.820 -2.604
-0.497 -1.482 -3.727
0.000 0.000 0.000



No. 8
Na2NdYS4, optimized geometry, DFT PBE; space-group type = P2/m; formation energy (no corrections) = -14.5 eV/f.u.; ρ = 3536 kg/m3; V = 23.91 A^3/atom; final energy = -44.9 eV/cell
1.0
4.061 0.000 0.000
0.000 7.034 0.120
0.000 -2.458 6.654
Y S Na Nd
1 4 2 1
Cartesian
2.031 3.517 0.060
2.031 1.198 1.572
2.031 3.379 5.202
0.000 4.614 1.609
0.000 -0.038 5.165
0.000 2.288 3.387
2.031 -1.229 3.327
0.000 0.000 0.000